Record 1
A plane-wave DFT calculation with PBE-GGA was carried out for an optimized crystal structure of GaGePd2.

Computed properties:
- ΔH_f (0 K): -0.420 eV/atom
- ρ: 9.5 Mg/m³
- Fermi-level density of states: 1.20 states/eV per cell

a b c (Å): 3.113 3.113 6.388
angles (deg): 90.00 90.00 90.00
Space group P4/mmm (No. 123)
Symmetry-distinct sites (fractional):
Ga 0.000 0.000 0.000
Ge 0.000 0.000 0.500
Pd 0.500 0.500 0.235

Record 2
A plane-wave DFT calculation with PBE-GGA was carried out for an optimized crystal structure of GaGePd.

Computed properties:
- ΔH_f (0 K): -0.224 eV/atom
- ρ: 8.3 Mg/m³
- Fermi-level density of states: 2.04 states/eV per cell

a b c (Å): 3.401 3.401 8.643
angles (deg): 90.00 90.00 90.00
Space group I4mm (No. 107)
Symmetry-distinct sites (fractional):
Ga 0.000 0.000 0.000
Ge 0.000 0.000 0.320
Pd 0.000 0.000 0.663

Record 3
A plane-wave DFT calculation with PBE-GGA was carried out for an optimized crystal structure of Ga2GePd3.

Computed properties:
- ΔH_f (0 K): -0.468 eV/atom
- ρ: 9.5 Mg/m³
- Fermi-level density of states: 6.60 states/eV per cell

a b c (Å): 13.633 5.304 5.159
angles (deg): 90.00 96.63 90.00
Space group C2/c (No. 15)
Symmetry-distinct sites (fractional):
Ga 0.168 0.112 0.064
Ge 0.000 0.369 0.250
Pd 0.000 0.127 0.750
Pd 0.170 0.386 0.604

| no. | total DFT energy (no corrections) (eV per atom) |
| --- | --- |
| 1 | -4.928 |
| 2 | -4.503 |
| 3 | -4.843 |